Here is crystalline Ti2CdS at its relaxed geometry from the Alexandria database. Energies are from PBE. Values from VASP.

Cell and atoms, written as Quantum ESPRESSO input:
```
&SYSTEM
  ibrav = 0, nat = 8, ntyp = 3
/
ATOMIC_SPECIES
S 32.06 S.upf
Ti 47.87 Ti.upf
Cd 112.41 Cd.upf
CELL_PARAMETERS angstrom
-1.1789 4.9470 -1.2572
-2.9382 0.3974 4.3188
3.4498 4.8855 5.0746
ATOMIC_POSITIONS angstrom
S -0.7735 3.9775 5.4621
S -2.0586 2.6722 1.5308
Ti -1.2396 2.5846 3.6846
Ti -0.7203 8.3006 6.0514
Ti -0.1233 3.8664 1.1489
Ti 0.7485 5.7082 5.3875
Cd 0.1062 6.2524 2.6741
Cd 0.0000 0.0000 0.0000
```

Calculated values
Uncorrected formation energy: 0.11 eV per atom
M_tot: 0.000 μB per formula unit
SG: I-42d
D(E_F): 0.6545 states/eV per atom
ΔE to the lowest computed polymorph: 18.09 kcal/mol of atoms